VASP calculation (PBE-GGA) on a relaxed Sr2CaPt crystal. Values from VASP.

Output
- volume (A^3/atom) = 31.66
- raw total energy (eV/atom) = -3.035
- E above lowest polymorph (meV per atom) = 378
- calculated formation energy (eV/f.u.) = -0.7
- theoretical density (g/cm³) = 5.4
- space group = P4/mmm
- total magnetic moment (μB/f.u.) = 0.000

```
&SYSTEM
  ibrav = 0, nat = 4, ntyp = 3
/
ATOMIC_SPECIES
Sr 87.62 Sr.upf
Ca 40.08 Ca.upf
Pt 195.08 Pt.upf
ATOMIC_POSITIONS crystal
Sr 0.000 0.500 0.000
Sr 0.500 0.000 0.000
Ca 0.000 0.000 0.500
Pt 0.500 0.500 0.500
CELL_PARAMETERS angstrom
5.167 0.000 0.000
0.000 5.167 0.000
0.000 0.000 4.744
```

***

VASP calculation (PBE-GGA) on a relaxed SrCa2Pt crystal. Values from VASP.

Output
- volume (A^3/atom) = 32.38
- raw total energy (eV/atom) = -3.512
- E above lowest polymorph (meV per atom) = 14
- calculated formation energy (eV/f.u.) = -2.3
- theoretical density (g/cm³) = 4.7
- space group = Pnma
- total magnetic moment (μB/f.u.) = 0.000

```
&SYSTEM
  ibrav = 0, nat = 16, ntyp = 3
/
ATOMIC_SPECIES
Sr 87.62 Sr.upf
Ca 40.08 Ca.upf
Pt 195.08 Pt.upf
ATOMIC_POSITIONS crystal
Sr 0.038 0.250 0.133
Sr 0.462 0.750 0.633
Sr 0.538 0.250 0.367
Sr 0.962 0.750 0.867
Ca 0.168 0.067 0.656
Ca 0.168 0.433 0.656
Ca 0.332 0.567 0.156
Ca 0.332 0.933 0.156
Ca 0.668 0.067 0.844
Ca 0.668 0.433 0.844
Ca 0.832 0.567 0.344
Ca 0.832 0.933 0.344
Pt 0.120 0.750 0.429
Pt 0.380 0.250 0.929
Pt 0.620 0.750 0.071
Pt 0.880 0.250 0.571
CELL_PARAMETERS angstrom
7.980 0.000 0.000
0.000 9.752 0.000
0.000 0.000 6.657
```

***

VASP calculation (PBE-GGA) on a relaxed SrCa3Pt crystal. Values from VASP.

Output
- volume (A^3/atom) = 36.48
- raw total energy (eV/atom) = -3.212
- E above lowest polymorph (meV per atom) = 16
- calculated formation energy (eV/f.u.) = -2.3
- theoretical density (g/cm³) = 3.7
- space group = P1
- total magnetic moment (μB/f.u.) = 0.000

```
&SYSTEM
  ibrav = 0, nat = 10, ntyp = 3
/
ATOMIC_SPECIES
Sr 87.62 Sr.upf
Ca 40.08 Ca.upf
Pt 195.08 Pt.upf
ATOMIC_POSITIONS crystal
Sr 0.000 0.000 0.000
Sr 0.130 0.134 0.586
Ca 0.095 0.585 0.479
Ca 0.145 0.543 0.981
Ca 0.552 0.039 0.115
Ca 0.560 0.448 0.503
Ca 0.591 0.995 0.614
Ca 0.687 0.570 0.083
Pt 0.228 0.905 0.295
Pt 0.468 0.667 0.796
CELL_PARAMETERS angstrom
7.802 0.000 0.000
-3.319 7.065 0.000
-2.220 -3.495 6.619
```

***

VASP calculation (PBE-GGA) on a relaxed Sr4Ca2Pt crystal. Values from VASP.

Output
- volume (A^3/atom) = 48.82
- raw total energy (eV/atom) = -2.554
- calculated formation energy (eV/f.u.) = -1.1
- theoretical density (g/cm³) = 3.0
- space group = I4/mmm
- total magnetic moment (μB/f.u.) = 0.000

```
&SYSTEM
  ibrav = 0, nat = 7, ntyp = 3
/
ATOMIC_SPECIES
Sr 87.62 Sr.upf
Ca 40.08 Ca.upf
Pt 195.08 Pt.upf
ATOMIC_POSITIONS crystal
Sr 0.000 0.500 0.500
Sr 0.153 0.153 0.000
Sr 0.500 0.000 0.500
Sr 0.847 0.847 0.000
Ca 0.353 0.353 0.000
Ca 0.647 0.647 0.000
Pt 0.000 0.000 0.000
CELL_PARAMETERS angstrom
-2.945 2.945 9.853
2.945 -2.945 9.853
2.945 2.945 -9.853
```

***

VASP calculation (PBE-GGA) on a relaxed SrCaPt crystal. Values from VASP.

Output
- volume (A^3/atom) = 30.94
- raw total energy (eV/atom) = -3.874
- E above lowest polymorph (meV per atom) = 117
- calculated formation energy (eV/f.u.) = -1.9
- theoretical density (g/cm³) = 5.8
- space group = P-1
- total magnetic moment (μB/f.u.) = 0.000

```
&SYSTEM
  ibrav = 0, nat = 6, ntyp = 3
/
ATOMIC_SPECIES
Sr 87.62 Sr.upf
Ca 40.08 Ca.upf
Pt 195.08 Pt.upf
ATOMIC_POSITIONS crystal
Sr 0.126 0.251 0.065
Sr 0.874 0.749 0.935
Ca 0.121 0.245 0.560
Ca 0.879 0.755 0.440
Pt 0.499 0.998 0.271
Pt 0.501 0.002 0.729
CELL_PARAMETERS angstrom
3.706 0.000 0.000
-1.819 7.081 0.000
-0.015 -1.932 7.075
```

***

VASP calculation (PBE-GGA) on a relaxed SrCa3Pt crystal. Values from VASP.

Output
- volume (A^3/atom) = 36.21
- raw total energy (eV/atom) = -3.196
- E above lowest polymorph (meV per atom) = 32
- calculated formation energy (eV/f.u.) = -2.3
- theoretical density (g/cm³) = 3.7
- space group = P2_1/m
- total magnetic moment (μB/f.u.) = 0.000

```
&SYSTEM
  ibrav = 0, nat = 10, ntyp = 3
/
ATOMIC_SPECIES
Sr 87.62 Sr.upf
Ca 40.08 Ca.upf
Pt 195.08 Pt.upf
ATOMIC_POSITIONS crystal
Sr 0.098 0.250 0.386
Sr 0.902 0.750 0.614
Ca 0.088 0.750 0.117
Ca 0.423 0.001 0.744
Ca 0.423 0.499 0.744
Ca 0.577 0.501 0.256
Ca 0.577 0.999 0.256
Ca 0.912 0.250 0.883
Pt 0.309 0.750 0.447
Pt 0.691 0.250 0.553
CELL_PARAMETERS angstrom
6.797 0.000 0.000
0.000 7.157 0.000
-0.091 0.000 7.444
```

***

VASP calculation (PBE-GGA) on a relaxed Sr2CaPt crystal. Values from VASP.

Output
- volume (A^3/atom) = 40.80
- raw total energy (eV/atom) = -3.268
- E above lowest polymorph (meV per atom) = 145
- calculated formation energy (eV/f.u.) = -1.7
- theoretical density (g/cm³) = 4.2
- space group = R-3m
- total magnetic moment (μB/f.u.) = 0.000

```
&SYSTEM
  ibrav = 0, nat = 4, ntyp = 3
/
ATOMIC_SPECIES
Sr 87.62 Sr.upf
Ca 40.08 Ca.upf
Pt 195.08 Pt.upf
ATOMIC_POSITIONS crystal
Sr 0.221 0.221 0.221
Sr 0.779 0.779 0.779
Ca 0.000 0.000 0.000
Pt 0.500 0.500 0.500
CELL_PARAMETERS angstrom
2.127 1.228 10.419
-2.127 1.228 10.419
0.000 -2.455 10.419
```

***

VASP calculation (PBE-GGA) on a relaxed Sr3CaPt2 crystal. Values from VASP.

Output
- volume (A^3/atom) = 35.01
- raw total energy (eV/atom) = -3.880
- calculated formation energy (eV/f.u.) = -4.2
- theoretical density (g/cm³) = 5.5
- space group = C2/m
- total magnetic moment (μB/f.u.) = 0.000

```
&SYSTEM
  ibrav = 0, nat = 12, ntyp = 3
/
ATOMIC_SPECIES
Sr 87.62 Sr.upf
Ca 40.08 Ca.upf
Pt 195.08 Pt.upf
ATOMIC_POSITIONS crystal
Sr 0.052 0.052 0.235
Sr 0.217 0.217 0.606
Sr 0.338 0.338 0.988
Sr 0.662 0.662 0.012
Sr 0.783 0.783 0.394
Sr 0.948 0.948 0.765
Ca 0.427 0.427 0.344
Ca 0.573 0.573 0.656
Pt 0.142 0.142 0.823
Pt 0.385 0.385 0.571
Pt 0.615 0.615 0.429
Pt 0.858 0.858 0.177
CELL_PARAMETERS angstrom
8.683 -2.307 0.000
8.683 2.307 0.000
-5.027 0.000 10.487
```

***

VASP calculation (PBE-GGA) on a relaxed SrCa2Pt crystal. Values from VASP.

Output
- volume (A^3/atom) = 27.66
- raw total energy (eV/atom) = -3.120
- E above lowest polymorph (meV per atom) = 407
- calculated formation energy (eV/f.u.) = -0.8
- theoretical density (g/cm³) = 5.4
- space group = Fm-3m
- total magnetic moment (μB/f.u.) = 0.000

```
&SYSTEM
  ibrav = 0, nat = 4, ntyp = 3
/
ATOMIC_SPECIES
Sr 87.62 Sr.upf
Ca 40.08 Ca.upf
Pt 195.08 Pt.upf
ATOMIC_POSITIONS crystal
Sr 0.000 0.000 0.000
Ca 0.250 0.250 0.250
Ca 0.750 0.750 0.750
Pt 0.500 0.500 0.500
CELL_PARAMETERS angstrom
0.000 3.810 3.810
3.810 0.000 3.810
3.810 3.810 0.000
```

***

VASP calculation (PBE-GGA) on a relaxed Sr3CaPt8 crystal. Values from VASP.

Output
- volume (A^3/atom) = 20.07
- raw total energy (eV/atom) = -5.503
- calculated formation energy (eV/f.u.) = -10.7
- theoretical density (g/cm³) = 12.9
- space group = R3m
- total magnetic moment (μB/f.u.) = 0.000

```
&SYSTEM
  ibrav = 0, nat = 12, ntyp = 3
/
ATOMIC_SPECIES
Sr 87.62 Sr.upf
Ca 40.08 Ca.upf
Pt 195.08 Pt.upf
ATOMIC_POSITIONS crystal
Sr 0.000 0.000 0.000
Sr 0.125 0.125 0.125
Sr 0.624 0.624 0.624
Ca 0.500 0.500 0.500
Pt 0.062 0.062 0.560
Pt 0.062 0.560 0.062
Pt 0.065 0.563 0.563
Pt 0.312 0.312 0.312
Pt 0.560 0.062 0.062
Pt 0.563 0.065 0.563
Pt 0.563 0.563 0.065
Pt 0.813 0.813 0.813
CELL_PARAMETERS angstrom
2.776 1.603 9.023
-2.776 1.603 9.023
0.000 -3.205 9.023
```

***

VASP calculation (PBE-GGA) on a relaxed SrCa2Pt2 crystal. Values from VASP.

Output
- volume (A^3/atom) = 27.34
- raw total energy (eV/atom) = -4.331
- E above lowest polymorph (meV per atom) = 0
- calculated formation energy (eV/f.u.) = -3.9
- theoretical density (g/cm³) = 6.8
- space group = Cmc2_1
- total magnetic moment (μB/f.u.) = 0.000

```
&SYSTEM
  ibrav = 0, nat = 10, ntyp = 3
/
ATOMIC_SPECIES
Sr 87.62 Sr.upf
Ca 40.08 Ca.upf
Pt 195.08 Pt.upf
ATOMIC_POSITIONS crystal
Sr 0.092 0.908 0.500
Sr 0.908 0.092 0.000
Ca 0.186 0.814 0.124
Ca 0.385 0.615 0.353
Ca 0.615 0.385 0.853
Ca 0.814 0.186 0.624
Pt 0.266 0.734 0.827
Pt 0.447 0.553 0.671
Pt 0.553 0.447 0.171
Pt 0.734 0.266 0.327
CELL_PARAMETERS angstrom
2.151 -6.901 0.000
2.151 6.901 0.000
0.000 0.000 9.207
```

***

VASP calculation (PBE-GGA) on a relaxed SrCa3Pt8 crystal. Values from VASP.

Output
- volume (A^3/atom) = 19.43
- raw total energy (eV/atom) = -5.596
- calculated formation energy (eV/f.u.) = -11.1
- theoretical density (g/cm³) = 12.6
- space group = R3m
- total magnetic moment (μB/f.u.) = 0.000

```
&SYSTEM
  ibrav = 0, nat = 12, ntyp = 3
/
ATOMIC_SPECIES
Sr 87.62 Sr.upf
Ca 40.08 Ca.upf
Pt 195.08 Pt.upf
ATOMIC_POSITIONS crystal
Sr 0.000 0.000 0.000
Ca 0.377 0.377 0.377
Ca 0.500 0.500 0.500
Ca 0.874 0.874 0.874
Pt 0.188 0.188 0.188
Pt 0.437 0.437 0.936
Pt 0.437 0.936 0.437
Pt 0.440 0.938 0.938
Pt 0.688 0.688 0.688
Pt 0.936 0.437 0.437
Pt 0.938 0.440 0.938
Pt 0.938 0.938 0.440
CELL_PARAMETERS angstrom
2.746 1.586 8.922
-2.746 1.586 8.922
0.000 -3.171 8.922
```